[1]
# Ca2TlP | Alexandria | meta-GGA SCAN | single point on PBEsol structure
# Energy relative to the elements (eV/atom): -0.825
# Energy relative to the lowest polymorph listed for this composition (meV per atom): 0
# VASP energy (eV/atom): -26.346
# Crystal system: tetragonal
data_Ca2TlP
_space_group_name_H-M_alt 'P 1'
_space_group_IT_number 1
_cell_length_a 3.676
_cell_length_b 3.676
_cell_length_c 7.107
_cell_angle_alpha 90.00
_cell_angle_beta 90.00
_cell_angle_gamma 90.00
loop_
_space_group_symop_operation_xyz
'x,y,z'
loop_
_atom_site_label
_atom_site_fract_x
_atom_site_fract_y
_atom_site_fract_z
P1 0.500 0.500 0.000
Tl1 0.500 0.500 0.500
Ca1 0.000 0.000 0.793
Ca2 0.000 0.000 0.207

[2]
# LiGa3Cl | Alexandria | meta-GGA SCAN | single point on PBEsol structure
# E_form (uncorrected) (eV/atom): 0.318
# VASP energy (eV/atom): -11.563
# Crystal system: cubic
data_LiGa3Cl
_space_group_name_H-M_alt 'P 1'
_space_group_IT_number 1
_cell_length_a 5.225
_cell_length_b 5.225
_cell_length_c 5.225
_cell_angle_alpha 90.00
_cell_angle_beta 90.00
_cell_angle_gamma 90.00
loop_
_space_group_symop_operation_xyz
'x,y,z'
loop_
_atom_site_label
_atom_site_fract_x
_atom_site_fract_y
_atom_site_fract_z
Li1 0.500 0.500 0.500
Ga1 0.000 0.500 0.000
Ga2 0.000 0.000 0.500
Ga3 0.500 0.000 0.000
Cl1 0.000 0.000 0.000

[3]
# ScSbRu4 | Alexandria | meta-GGA SCAN | single point on PBEsol structure
# E_form (uncorrected) (eV/atom): 0.014
# VASP energy (eV/atom): -31.787
# Crystal system: cubic
data_ScSbRu4
_space_group_name_H-M_alt 'P 1'
_space_group_IT_number 1
_cell_length_a 5.130
_cell_length_b 5.130
_cell_length_c 5.130
_cell_angle_alpha 60.00
_cell_angle_beta 60.00
_cell_angle_gamma 60.00
loop_
_space_group_symop_operation_xyz
'x,y,z'
loop_
_atom_site_label
_atom_site_fract_x
_atom_site_fract_y
_atom_site_fract_z
Ru1 0.376 0.376 0.376
Ru2 0.376 0.376 0.873
Ru3 0.873 0.376 0.376
Ru4 0.376 0.873 0.376
Sb1 0.750 0.750 0.750
Sc1 0.000 0.000 0.000

[4]
# BeNiSe2 | Alexandria | meta-GGA SCAN | single point on PBEsol structure
# E_form (uncorrected) (eV/atom): -0.301
# VASP energy (eV/atom): -15.472
# Crystal system: monoclinic
data_BeNiSe2
_space_group_name_H-M_alt 'P 1'
_space_group_IT_number 1
_cell_length_a 3.357
_cell_length_b 4.000
_cell_length_c 5.521
_cell_angle_alpha 102.20
_cell_angle_beta 90.00
_cell_angle_gamma 114.81
loop_
_space_group_symop_operation_xyz
'x,y,z'
loop_
_atom_site_label
_atom_site_fract_x
_atom_site_fract_y
_atom_site_fract_z
Ni1 0.740 0.481 0.329
Se1 0.004 0.008 0.120
Se2 0.283 0.567 0.646
Be1 0.472 0.945 0.405

[5]
# MgNb2HgAu | Alexandria | meta-GGA SCAN | single point on PBEsol structure
# Energy relative to the elements (eV/atom): 1.432
# VASP energy (eV/atom): -40.279
# Crystal system: tetragonal
data_MgNb2HgAu
_space_group_name_H-M_alt 'P 1'
_space_group_IT_number 1
_cell_length_a 4.642
_cell_length_b 4.757
_cell_length_c 4.757
_cell_angle_alpha 90.00
_cell_angle_beta 90.00
_cell_angle_gamma 90.00
loop_
_space_group_symop_operation_xyz
'x,y,z'
loop_
_atom_site_label
_atom_site_fract_x
_atom_site_fract_y
_atom_site_fract_z
Mg1 0.000 0.000 0.000
Nb1 0.000 0.000 0.500
Nb2 0.000 0.500 0.000
Au1 0.500 0.500 0.500
Hg1 0.500 0.000 0.000

[6]
# HfOsSN2 | Alexandria | meta-GGA SCAN | single point on PBEsol structure
# E_form (uncorrected) (eV/atom): 0.380
# VASP energy (eV/atom): -32.173
# Crystal system: tetragonal
data_HfOsSN2
_space_group_name_H-M_alt 'P 1'
_space_group_IT_number 1
_cell_length_a 3.791
_cell_length_b 3.791
_cell_length_c 4.786
_cell_angle_alpha 90.00
_cell_angle_beta 90.00
_cell_angle_gamma 90.00
loop_
_space_group_symop_operation_xyz
'x,y,z'
loop_
_atom_site_label
_atom_site_fract_x
_atom_site_fract_y
_atom_site_fract_z
Hf1 0.500 0.500 0.500
S1 0.000 0.000 0.500
Os1 0.000 0.000 0.000
N1 0.000 0.500 0.000
N2 0.500 0.000 0.000

[7]
# HoPt2 | Alexandria | meta-GGA SCAN | single point on PBEsol structure
# Energy relative to the elements (eV/atom): -1.314
# VASP energy (eV/atom): -64.439
# Crystal system: cubic
data_HoPt2
_space_group_name_H-M_alt 'P 1'
_space_group_IT_number 1
_cell_length_a 5.347
_cell_length_b 5.347
_cell_length_c 5.347
_cell_angle_alpha 60.00
_cell_angle_beta 60.00
_cell_angle_gamma 60.00
loop_
_space_group_symop_operation_xyz
'x,y,z'
loop_
_atom_site_label
_atom_site_fract_x
_atom_site_fract_y
_atom_site_fract_z
Ho1 0.000 0.000 0.000
Ho2 0.250 0.250 0.250
Pt1 0.125 0.625 0.625
Pt2 0.625 0.625 0.625
Pt3 0.625 0.625 0.125
Pt4 0.625 0.125 0.625

[8]
# ScHg2Se | Alexandria | meta-GGA SCAN | single point on PBEsol structure
# E_form (uncorrected) (eV/atom): -0.690
# VASP energy (eV/atom): -43.352
# Crystal system: orthorhombic
data_ScHg2Se
_space_group_name_H-M_alt 'P 1'
_space_group_IT_number 1
_cell_length_a 3.561
_cell_length_b 3.981
_cell_length_c 6.963
_cell_angle_alpha 106.61
_cell_angle_beta 104.81
_cell_angle_gamma 90.00
loop_
_space_group_symop_operation_xyz
'x,y,z'
loop_
_atom_site_label
_atom_site_fract_x
_atom_site_fract_y
_atom_site_fract_z
Hg1 0.799 0.799 0.598
Hg2 0.201 0.201 0.402
Sc1 0.500 0.000 0.000
Se1 0.000 0.500 0.000

Number 8 is which compound? ScHg2Se

Look up the VASP energy of the second one. -11.563 eV/atom

Among the records above, which one has the highest VASP energy? LiGa3Cl

Look up the VASP energy of the fourth one. -15.472 eV/atom